(1)
CsTl2Pd PBE relaxed; calculated formation energy = -0.02 eV/atom; electronic total energy = -2.7132 eV per atom; symmetry = I-42d; total magnetic moment = 0.000 μB/atom
1.0
-3.3216 3.3216 8.2912
3.3216 -3.3216 8.2912
3.3216 3.3216 -8.2912
Cs Tl Pd
2 4 2
direct
0.0000 0.0000 0.0000
0.7500 0.2500 0.5000
0.3710 0.6250 0.2460
0.3750 0.6210 0.7460
0.3790 0.1250 0.7540
0.8750 0.6290 0.2540
0.2500 0.7500 0.5000
0.5000 0.5000 0.0000

=====

(2)
Cs5Tl6Pd PBE relaxed; calculated formation energy = -0.06 eV/atom; electronic total energy = -2.0313 eV per atom; symmetry = C2/m; total magnetic moment = 0.000 μB/atom
1.0
4.0372 -8.6789 0.0000
4.0372 8.6789 0.0000
-3.7726 0.0000 8.5028
Cs Tl Pd
5 6 1
direct
0.0000 0.0000 0.0000
0.1365 0.8635 0.5000
0.2772 0.7228 0.0000
0.7228 0.2772 0.0000
0.8635 0.1365 0.5000
0.2510 0.5329 0.3227
0.4671 0.7490 0.6773
0.4739 0.4739 0.8105
0.5261 0.5261 0.1895
0.5329 0.2510 0.3227
0.7490 0.4671 0.6773
0.5000 0.5000 0.5000

=====

(3)
CsTl2Pd PBE relaxed; calculated formation energy = -0.10 eV/atom; electronic total energy = -2.7936 eV per atom; symmetry = R3m; total magnetic moment = 0.000 μB/atom
1.0
2.2645 1.3074 7.9803
-2.2645 1.3074 7.9803
0.0000 -2.6148 7.9803
Cs Tl Pd
1 2 1
direct
0.0000 0.0000 0.0000
0.5502 0.5502 0.5502
0.7863 0.7863 0.7863
0.1686 0.1686 0.1686

=====

(4)
CsTl6Pd3 PBE relaxed; calculated formation energy = -0.09 eV/atom; electronic total energy = -3.1484 eV per atom; symmetry = P1; total magnetic moment = 0.000 μB/atom
1.0
7.0703 0.0000 0.0000
-3.4161 6.2011 0.0000
-0.5307 -3.8628 6.4828
Cs Tl Pd
1 6 3
direct
0.0000 0.0000 0.0000
0.1080 0.6465 0.2195
0.3587 0.2456 0.6030
0.3931 0.7944 0.7006
0.5718 0.1089 0.2186
0.6521 0.7034 0.3560
0.9060 0.3063 0.7012
0.3901 0.5936 0.9852
0.6251 0.3407 0.9675
0.9254 0.5857 0.5142

=====

(5)
CsTl3Pd3 PBE relaxed; calculated formation energy = -0.09 eV/atom; electronic total energy = -3.4473 eV per atom; symmetry = R-3m; distance to the lowest polymorph of the same formula = 0.051 eV/atom; total magnetic moment = 0.000 μB/atom
1.0
3.9182 2.2622 7.0536
-3.9182 2.2622 7.0536
0.0000 -4.5243 7.0536
Cs Tl Pd
2 6 6
direct
0.1022 0.1022 0.1022
0.8978 0.8978 0.8978
0.1287 0.5810 0.5810
0.4190 0.4190 0.8713
0.4190 0.8713 0.4190
0.5810 0.1287 0.5810
0.5810 0.5810 0.1287
0.8713 0.4190 0.4190
0.2062 0.2062 0.5656
0.2062 0.5656 0.2062
0.4344 0.7938 0.7938
0.5656 0.2062 0.2062
0.7938 0.4344 0.7938
0.7938 0.7938 0.4344

=====

(6)
CsTl9Pd2 PBE relaxed; calculated formation energy = -0.11 eV/atom; electronic total energy = -2.8241 eV per atom; symmetry = P6/mmm; total magnetic moment = 0.000 μB/atom
1.0
9.5969 0.0000 0.0000
-4.7984 8.3111 0.0000
0.0000 0.0000 4.6089
Cs Tl Pd
1 9 2
direct
0.0000 0.0000 0.0000
0.0000 0.5000 0.0000
0.2098 0.4197 0.5000
0.2098 0.7902 0.5000
0.4197 0.2098 0.5000
0.5000 0.0000 0.0000
0.5000 0.5000 0.0000
0.5803 0.7902 0.5000
0.7902 0.2098 0.5000
0.7902 0.5803 0.5000
0.3333 0.6667 0.0000
0.6667 0.3333 0.0000

=====

(7)
CsTl3Pd3 PBE relaxed; calculated formation energy = 0.01 eV/atom; electronic total energy = -3.3546 eV per atom; symmetry = Pm-3n; distance to the lowest polymorph of the same formula = 0.143 eV/atom; total magnetic moment = 0.000 μB/atom
1.0
7.6917 0.0000 0.0000
0.0000 7.6917 0.0000
0.0000 0.0000 7.6917
Cs Tl Pd
2 6 6
direct
0.0000 0.0000 0.0000
0.5000 0.5000 0.5000
0.0000 0.2500 0.5000
0.0000 0.7500 0.5000
0.2500 0.5000 0.0000
0.5000 0.0000 0.2500
0.5000 0.0000 0.7500
0.7500 0.5000 0.0000
0.0000 0.5000 0.2500
0.0000 0.5000 0.7500
0.2500 0.0000 0.5000
0.5000 0.2500 0.0000
0.5000 0.7500 0.0000
0.7500 0.0000 0.5000

=====

(8)
Cs3Tl7Pd2 PBE relaxed; calculated formation energy = -0.07 eV/atom; electronic total energy = -2.5303 eV per atom; symmetry = Cmmm; total magnetic moment = 0.000 μB/atom
1.0
2.7191 -15.8978 0.0000
2.7191 15.8978 0.0000
0.0000 0.0000 5.3385
Cs Tl Pd
3 7 2
direct
0.0000 0.0000 0.0000
0.2003 0.7997 0.0000
0.7997 0.2003 0.0000
0.0994 0.9006 0.5000
0.3250 0.6750 0.5000
0.3953 0.6047 0.0000
0.5000 0.5000 0.5000
0.6047 0.3953 0.0000
0.6750 0.3250 0.5000
0.9006 0.0994 0.5000
0.4172 0.5828 0.5000
0.5828 0.4172 0.5000

=====

(9)
CsTl8Pd2 PBE relaxed; calculated formation energy = -0.04 eV/atom; electronic total energy = -2.7866 eV per atom; symmetry = C2/m; total magnetic moment = 0.000 μB/atom
1.0
4.8073 -6.3930 0.0000
4.8073 6.3930 0.0000
-1.1594 0.0000 5.4411
Cs Tl Pd
1 8 2
direct
0.0000 0.0000 0.0000
0.0887 0.3510 0.5967
0.2821 0.7179 0.0000
0.3510 0.0887 0.5967
0.4021 0.4021 0.2220
0.5979 0.5979 0.7780
0.6490 0.9113 0.4033
0.7179 0.2821 0.0000
0.9113 0.6490 0.4033
0.2932 0.7068 0.5000
0.7068 0.2932 0.5000

=====

(10)
CsTl2Pd PBE relaxed; calculated formation energy = -0.11 eV/atom; electronic total energy = -2.8020 eV per atom; symmetry = R-3m; total magnetic moment = 0.000 μB/atom
1.0
2.4281 1.4019 6.9367
-2.4281 1.4019 6.9367
0.0000 -2.8037 6.9367
Cs Tl Pd
1 2 1
direct
0.0000 0.0000 0.0000
0.2019 0.2019 0.2019
0.7981 0.7981 0.7981
0.5000 0.5000 0.5000

=====

(11)
CsTl2Pd PBE relaxed; calculated formation energy = -0.10 eV/atom; electronic total energy = -2.7989 eV per atom; symmetry = Pnma; total magnetic moment = 0.000 μB/atom
1.0
17.7142 0.0000 0.0000
0.0000 8.2050 0.0000
0.0000 0.0000 7.1153
Cs Tl Pd
8 16 8
direct
0.1002 0.2500 0.1777
0.1263 0.7500 0.0257
0.3737 0.2500 0.5257
0.3998 0.7500 0.6777
0.6002 0.2500 0.3223
0.6263 0.7500 0.4743
0.8737 0.2500 0.9743
0.8998 0.7500 0.8223
0.0516 0.0575 0.6844
0.0516 0.4425 0.6844
0.2106 0.5478 0.4944
0.2106 0.9522 0.4944
0.2894 0.0478 0.9944
0.2894 0.4522 0.9944
0.4484 0.5575 0.1844
0.4484 0.9425 0.1844
0.5516 0.0575 0.8156
0.5516 0.4425 0.8156
0.7106 0.5478 0.0056
0.7106 0.9522 0.0056
0.7894 0.0478 0.5056
0.7894 0.4522 0.5056
0.9484 0.5575 0.3156
0.9484 0.9425 0.3156
0.0716 0.7500 0.4989
0.1936 0.2500 0.7313
0.3064 0.7500 0.2313
0.4284 0.2500 0.9989
0.5716 0.7500 0.0011
0.6936 0.2500 0.7687
0.8064 0.7500 0.2687
0.9284 0.2500 0.5011

=====

(12)
CsTlPd2 PBE relaxed; calculated formation energy = -0.13 eV/atom; electronic total energy = -3.5276 eV per atom; symmetry = Cmcm; distance to the lowest polymorph of the same formula = 0.054 eV/atom; total magnetic moment = 0.000 μB/atom
1.0
2.3683 -6.8078 0.0000
2.3683 6.8078 0.0000
0.0000 0.0000 8.0353
Cs Tl Pd
2 2 4
direct
0.0453 0.9547 0.7500
0.9547 0.0453 0.2500
0.3075 0.6925 0.7500
0.6925 0.3075 0.2500
0.2298 0.7702 0.0783
0.2298 0.7702 0.4217
0.7702 0.2298 0.5783
0.7702 0.2298 0.9217

=====

(13)
CsTl5Pd2 PBE relaxed; calculated formation energy = -0.12 eV/atom; electronic total energy = -3.0033 eV per atom; symmetry = Immm; total magnetic moment = 0.000 μB/atom
1.0
-2.3778 4.1190 6.0339
2.3778 -4.1190 6.0339
2.3778 4.1190 -6.0339
Cs Tl Pd
1 5 2
direct
0.0000 0.0000 0.0000
0.1415 0.3426 0.7990
0.4564 0.6574 0.7990
0.5000 0.0000 0.5000
0.5436 0.3426 0.2010
0.8585 0.6574 0.2010
0.2742 0.7742 0.5000
0.7258 0.2258 0.5000

=====

(14)
Cs3Tl5Pd6 PBE relaxed; calculated formation energy = -0.14 eV/atom; electronic total energy = -3.3889 eV per atom; symmetry = Immm; total magnetic moment = 0.000 μB/atom
1.0
-2.3949 6.1348 6.7480
2.3949 -6.1348 6.7480
2.3949 6.1348 -6.7480
Cs Tl Pd
3 5 6
direct
0.0000 0.0000 0.0000
0.2819 0.2819 0.0000
0.7181 0.7181 0.0000
0.0352 0.3296 0.7055
0.3759 0.6704 0.7055
0.5000 0.0000 0.5000
0.6241 0.3296 0.2945
0.9648 0.6704 0.2945
0.1916 0.8962 0.2953
0.3540 0.5000 0.8540
0.3991 0.1038 0.2953
0.6009 0.8962 0.7047
0.6460 0.5000 0.1460
0.8084 0.1038 0.7047

=====

(15)
Cs2Tl5Pd4 PBE relaxed; calculated formation energy = -0.14 eV/atom; electronic total energy = -3.2573 eV per atom; symmetry = C2/m; total magnetic moment = 0.000 μB/atom
1.0
6.2039 -4.0760 0.0000
6.2039 4.0760 0.0000
-4.7667 0.0000 7.0513
Cs Tl Pd
2 5 4
direct
0.0958 0.0958 0.3692
0.9042 0.9042 0.6308
0.1250 0.5318 0.8990
0.4682 0.8750 0.1010
0.5000 0.5000 0.5000
0.5318 0.1250 0.8990
0.8750 0.4682 0.1010
0.2844 0.2844 0.1367
0.4659 0.4659 0.7995
0.5341 0.5341 0.2005
0.7156 0.7156 0.8633

=====

(16)
CsTl2Pd2 PBE relaxed; calculated formation energy = -0.08 eV/atom; electronic total energy = -3.2786 eV per atom; symmetry = I4/mmm; distance to the lowest polymorph of the same formula = 0.077 eV/atom; total magnetic moment = 0.000 μB/atom
1.0
-2.4868 2.4868 5.7416
2.4868 -2.4868 5.7416
2.4868 2.4868 -5.7416
Cs Tl Pd
1 2 2
direct
0.0000 0.0000 0.0000
0.2500 0.7500 0.5000
0.7500 0.2500 0.5000
0.3794 0.3794 0.0000
0.6206 0.6206 0.0000

=====

(17)
Cs3Tl8Pd3 PBE relaxed; calculated formation energy = -0.06 eV/atom; electronic total energy = -2.7078 eV per atom; symmetry = Immm; total magnetic moment = 0.000 μB/atom
1.0
-2.6165 6.2143 7.1675
2.6165 -6.2143 7.1675
2.6165 6.2143 -7.1675
Cs Tl Pd
3 8 3
direct
0.0000 0.0000 0.0000
0.3309 0.3309 0.0000
0.6691 0.6691 0.0000
0.0180 0.6745 0.3435
0.1933 0.8943 0.2989
0.3310 0.6745 0.6565
0.4046 0.1057 0.2989
0.5954 0.8943 0.7011
0.6690 0.3255 0.3435
0.8067 0.1057 0.7011
0.9820 0.3255 0.6565
0.2550 0.5000 0.7550
0.5000 0.0000 0.5000
0.7450 0.5000 0.2450

=====

(18)
Cs2Tl4Pd3 PBE relaxed; calculated formation energy = -0.13 eV/atom; electronic total energy = -3.0996 eV per atom; symmetry = Ibam; total magnetic moment = 0.000 μB/atom
1.0
-3.3003 6.5659 6.5103
3.3003 -6.5659 6.5103
3.3003 6.5659 -6.5103
Cs Tl Pd
4 8 6
direct
0.1368 0.1934 0.3302
0.3632 0.6934 0.0566
0.6368 0.3066 0.9434
0.8632 0.8066 0.6698
0.0508 0.4749 0.2092
0.2343 0.0251 0.5759
0.2657 0.8416 0.7908
0.4492 0.6584 0.4241
0.5508 0.3416 0.5759
0.7343 0.1584 0.2092
0.7657 0.9749 0.4241
0.9492 0.5251 0.7908
0.0279 0.2500 0.7779
0.2500 0.2500 0.0000
0.4721 0.2500 0.2221
0.5279 0.7500 0.7779
0.7500 0.7500 0.0000
0.9721 0.7500 0.2221

=====

(19)
Cs5Tl4Pd PBE relaxed; calculated formation energy = -0.06 eV/atom; electronic total energy = -1.9558 eV per atom; symmetry = C2/m; total magnetic moment = 0.000 μB/atom
1.0
11.8771 -2.5460 0.0000
11.8771 2.5460 0.0000
-3.1786 0.0000 9.1941
Cs Tl Pd
5 4 1
direct
0.0000 0.0000 0.0000
0.3028 0.3028 0.7022
0.3646 0.3646 0.2160
0.6354 0.6354 0.7840
0.6972 0.6972 0.2978
0.1119 0.1119 0.4572
0.4686 0.4686 0.6294
0.5314 0.5314 0.3706
0.8881 0.8881 0.5428
0.0000 0.0000 0.5000

=====

(20)
Cs5Tl4Pd4 PBE relaxed; calculated formation energy = -0.10 eV/atom; electronic total energy = -2.7551 eV per atom; symmetry = I4/m; total magnetic moment = 0.016 μB/atom
1.0
-6.7176 6.7176 2.6213
6.7176 -6.7176 2.6213
6.7176 6.7176 -2.6213
Cs Tl Pd
5 4 4
direct
0.0000 0.0000 0.0000
0.3151 0.6632 0.9783
0.3368 0.3151 0.6519
0.6632 0.6849 0.3481
0.6849 0.3368 0.0217
0.0140 0.6826 0.6966
0.3174 0.0140 0.3313
0.6826 0.9860 0.6687
0.9860 0.3174 0.3034
0.1032 0.4906 0.5938
0.4906 0.8968 0.3874
0.5094 0.1032 0.6126
0.8968 0.5094 0.4062

=====

(21)
Cs4Tl5Pd PBE relaxed; calculated formation energy = -0.11 eV/atom; electronic total energy = -2.1571 eV per atom; symmetry = I4mm; total magnetic moment = 0.000 μB/atom
1.0
-5.7436 5.7436 3.4494
5.7436 -5.7436 3.4494
5.7436 5.7436 -3.4494
Cs Tl Pd
4 5 1
direct
0.0000 0.2975 0.2975
0.0000 0.7025 0.7025
0.2975 0.0000 0.2975
0.7025 0.0000 0.7025
0.2091 0.2091 0.0000
0.3943 0.3943 0.7171
0.3943 0.6773 0.0000
0.6773 0.3943 0.0000
0.6773 0.6773 0.2829
0.8010 0.8010 0.0000